No. 1
Compound: Ac2Sn3HgPd4
Source: Alexandria via LeMat-Bulk
Functional: PBE-GGA
Structure: relaxed

a = 4.687 Å, b = 4.687 Å, c = 10.937 Å
α = 90.00°, β = 90.00°, γ = 90.00°
Element x y z (fractional)
Ac1 0.000 0.500 0.247
Ac2 0.500 0.000 0.753
Sn1 0.000 0.500 0.878
Sn2 0.500 0.000 0.122
Sn3 0.500 0.500 0.500
Hg1 0.000 0.000 0.500
Pd1 0.000 0.000 0.000
Pd2 0.000 0.500 0.637
Pd3 0.500 0.000 0.363
Pd4 0.500 0.500 0.000

Values from the calculation:
**Space-group type**: No. 115
**Volume**: 24.026 Å³/atom
**Raw total energy**: -4.875 eV/atom
**Energy relative to the elements**: -745 meV per atom


No. 2
Compound: AcSnHg2Pd2
Source: Alexandria via LeMat-Bulk
Functional: PBE-GGA
Structure: relaxed

a = 6.742 Å, b = 6.742 Å, c = 6.742 Å
α = 132.89°, β = 132.89°, γ = 68.83°
Element x y z (fractional)
Ac1 0.000 0.000 0.000
Sn1 0.500 0.500 0.000
Hg1 0.250 0.750 0.500
Hg2 0.750 0.250 0.500
Pd1 0.265 0.265 0.000
Pd2 0.735 0.735 0.000

Values from the calculation:
**Space-group type**: No. 139
**Volume**: 26.924 Å³/atom
**Raw total energy**: -3.470 eV/atom
**Energy relative to the elements**: -286 meV per atom


No. 3
Compound: Ac2Sn3HgPd6
Source: Alexandria via LeMat-Bulk
Functional: PBE-GGA
Structure: relaxed

a = 4.268 Å, b = 4.268 Å, c = 17.118 Å
α = 90.00°, β = 90.00°, γ = 90.00°
Element x y z (fractional)
Ac1 0.000 0.000 0.197
Ac2 0.000 0.000 0.803
Sn1 0.500 0.500 0.000
Sn2 0.500 0.500 0.306
Sn3 0.500 0.500 0.694
Hg1 0.000 0.000 0.500
Pd1 0.000 0.500 0.394
Pd2 0.000 0.500 0.606
Pd3 0.500 0.000 0.394
Pd4 0.500 0.000 0.606
Pd5 0.500 0.500 0.150
Pd6 0.500 0.500 0.850

Values from the calculation:
**Space-group type**: No. 123
**Volume**: 25.990 Å³/atom
**Raw total energy**: -4.735 eV/atom
**Energy relative to the elements**: -428 meV per atom


No. 4
Compound: Ac2SnHgPd6
Source: Alexandria via LeMat-Bulk
Functional: PBE-GGA
Structure: relaxed

a = 6.861 Å, b = 6.861 Å, c = 8.800 Å
α = 128.36°, β = 128.36°, γ = 48.66°
Element x y z (fractional)
Ac1 0.027 0.027 0.283
Ac2 0.973 0.973 0.717
Sn1 0.500 0.500 0.000
Hg1 0.500 0.500 0.500
Pd1 0.005 0.510 0.742
Pd2 0.323 0.323 0.074
Pd3 0.490 0.995 0.258
Pd4 0.510 0.005 0.742
Pd5 0.677 0.677 0.926
Pd6 0.995 0.490 0.258

Values from the calculation:
**Space-group type**: No. 12
**Volume**: 22.769 Å³/atom
**Raw total energy**: -4.997 eV/atom
**Energy relative to the elements**: -629 meV per atom


It is found that the D(E_F) values, taken in the order of the records, are 5.96; 2.15; 8.23; 3.78 states/eV/cell.
It is found that the theoretical density values, taken in the order of the records, are 9.9; 9.9; 8.8; 10.3 Mg/m³.
It is found that the size of the total moment values, taken in the order of the records, are 0.00; 0.00; 0.00; 0.00 μB per formula unit.